1.
! ReAu2, optimized geometry, DFT GGA-PBE; values from VASP
! ρ = 18.6 Mg/m³
! Total moment = 0.01 μB per formula unit
! Energy relative to the lowest polymorph listed for this composition = 37.4 kJ per mole of atoms
! Total DFT energy (no corrections) = -5.196 eV per atom
! Calculated volume = 17.289 Å³/atom
! Energy relative to the elements = 1.1222 eV per atom
&SYSTEM
  ibrav = 0, nat = 6, ntyp = 2
/
ATOMIC_SPECIES
Re 186.21 Re.upf
Au 196.97 Au.upf
CELL_PARAMETERS angstrom
0.000 3.729 3.729
3.729 0.000 3.729
3.729 3.729 0.000
ATOMIC_POSITIONS crystal
Re 0.125 0.125 0.125
Re 0.875 0.875 0.875
Au 0.000 0.500 0.500
Au 0.500 0.000 0.500
Au 0.500 0.500 0.000
Au 0.500 0.500 0.500

=====

2.
! TlReTe2AuS, optimized geometry, DFT GGA-PBE; values from VASP
! ρ = 8.4 Mg/m³
! Total moment = 0.00 μB per formula unit
! Total DFT energy (no corrections) = -4.707 eV per atom
! Calculated volume = 28.717 Å³/atom
&SYSTEM
  ibrav = 0, nat = 12, ntyp = 5
/
ATOMIC_SPECIES
Tl 204.38 Tl.upf
Re 186.21 Re.upf
Te 127.60 Te.upf
Au 196.97 Au.upf
S 32.06 S.upf
CELL_PARAMETERS angstrom
2.128 -9.001 0.000
2.128 9.001 0.000
0.000 0.000 8.997
ATOMIC_POSITIONS crystal
Tl 0.237 0.763 0.750
Tl 0.763 0.237 0.250
Re 0.500 0.500 0.000
Re 0.500 0.500 0.500
Te 0.100 0.900 0.523
Te 0.100 0.900 0.977
Te 0.900 0.100 0.023
Te 0.900 0.100 0.477
Au 0.154 0.846 0.250
Au 0.846 0.154 0.750
S 0.496 0.504 0.750
S 0.504 0.496 0.250

=====

3.
! TlReTeAuS2, optimized geometry, DFT GGA-PBE; values from VASP
! ρ = 8.9 Mg/m³
! Total moment = 0.02 μB per formula unit
! Total DFT energy (no corrections) = -4.930 eV per atom
! Calculated volume = 24.188 Å³/atom
&SYSTEM
  ibrav = 0, nat = 12, ntyp = 5
/
ATOMIC_SPECIES
Tl 204.38 Tl.upf
Re 186.21 Re.upf
Te 127.60 Te.upf
Au 196.97 Au.upf
S 32.06 S.upf
CELL_PARAMETERS angstrom
1.651 -8.459 0.000
1.651 8.459 0.000
0.000 0.000 10.390
ATOMIC_POSITIONS crystal
Tl 0.213 0.787 0.750
Tl 0.787 0.213 0.250
Re 0.500 0.500 0.000
Re 0.500 0.500 0.500
Te 0.456 0.544 0.250
Te 0.544 0.456 0.750
Au 0.136 0.864 0.250
Au 0.864 0.136 0.750
S 0.103 0.897 0.026
S 0.103 0.897 0.474
S 0.897 0.103 0.526
S 0.897 0.103 0.974

=====

4.
! TlReAu3S4, optimized geometry, DFT GGA-PBE; values from VASP
! ρ = 7.6 Mg/m³
! Total moment = 1.28 μB per formula unit
! Total DFT energy (no corrections) = -4.395 eV per atom
! Calculated volume = 26.943 Å³/atom
&SYSTEM
  ibrav = 0, nat = 9, ntyp = 4
/
ATOMIC_SPECIES
Tl 204.38 Tl.upf
Re 186.21 Re.upf
Au 196.97 Au.upf
S 32.06 S.upf
CELL_PARAMETERS angstrom
6.236 0.000 0.000
0.000 6.236 0.000
0.000 0.000 6.236
ATOMIC_POSITIONS crystal
Tl 0.000 0.000 0.000
Re 0.500 0.500 0.500
Au 0.000 0.500 0.500
Au 0.500 0.000 0.500
Au 0.500 0.500 0.000
S 0.288 0.288 0.288
S 0.288 0.712 0.712
S 0.712 0.288 0.712
S 0.712 0.712 0.288

=====

5.
! ReSbAu4, optimized geometry, DFT GGA-PBE; values from VASP
! ρ = 15.5 Mg/m³
! Total moment = 2.11 μB per formula unit
! Total DFT energy (no corrections) = -4.402 eV per atom
! Calculated volume = 19.552 Å³/atom
&SYSTEM
  ibrav = 0, nat = 6, ntyp = 3
/
ATOMIC_SPECIES
Re 186.21 Re.upf
Sb 121.76 Sb.upf
Au 196.97 Au.upf
CELL_PARAMETERS angstrom
2.432 1.404 5.728
-2.432 1.404 5.728
0.000 -2.808 5.728
ATOMIC_POSITIONS crystal
Re 0.000 0.000 0.000
Sb 0.500 0.500 0.500
Au 0.157 0.157 0.157
Au 0.330 0.330 0.330
Au 0.670 0.670 0.670
Au 0.843 0.843 0.843

=====

6.
! Re3Sb5Au, optimized geometry, DFT GGA-PBE; values from VASP
! ρ = 10.6 Mg/m³
! Total moment = 0.03 μB per formula unit
! Total DFT energy (no corrections) = -6.333 eV per atom
! Calculated volume = 23.685 Å³/atom
&SYSTEM
  ibrav = 0, nat = 9, ntyp = 3
/
ATOMIC_SPECIES
Re 186.21 Re.upf
Sb 121.76 Sb.upf
Au 196.97 Au.upf
CELL_PARAMETERS angstrom
5.495 0.000 0.000
-2.748 4.759 0.000
0.000 0.000 8.151
ATOMIC_POSITIONS crystal
Re 0.000 0.500 0.000
Re 0.500 0.000 0.000
Re 0.500 0.500 0.000
Sb 0.000 0.000 0.000
Sb 0.333 0.667 0.290
Sb 0.333 0.667 0.710
Sb 0.667 0.333 0.290
Sb 0.667 0.333 0.710
Au 0.000 0.000 0.500

=====

7.
! TlReTeAuSe2, optimized geometry, DFT GGA-PBE; values from VASP
! ρ = 9.7 Mg/m³
! Total moment = 0.02 μB per formula unit
! Total DFT energy (no corrections) = -4.658 eV per atom
! Calculated volume = 24.897 Å³/atom
&SYSTEM
  ibrav = 0, nat = 12, ntyp = 5
/
ATOMIC_SPECIES
Tl 204.38 Tl.upf
Re 186.21 Re.upf
Te 127.60 Te.upf
Au 196.97 Au.upf
Se 78.96 Se.upf
CELL_PARAMETERS angstrom
1.721 -8.223 0.000
1.721 8.223 0.000
0.000 0.000 10.555
ATOMIC_POSITIONS crystal
Tl 0.203 0.797 0.750
Tl 0.797 0.203 0.250
Re 0.500 0.500 0.000
Re 0.500 0.500 0.500
Te 0.466 0.534 0.250
Te 0.534 0.466 0.750
Au 0.150 0.850 0.250
Au 0.850 0.150 0.750
Se 0.113 0.887 0.019
Se 0.113 0.887 0.481
Se 0.887 0.113 0.519
Se 0.887 0.113 0.981

=====

8.
! TlReAuSe3, optimized geometry, DFT GGA-PBE; values from VASP
! ρ = 9.7 Mg/m³
! Total moment = 0.02 μB per formula unit
! Total DFT energy (no corrections) = -4.748 eV per atom
! Calculated volume = 23.485 Å³/atom
&SYSTEM
  ibrav = 0, nat = 12, ntyp = 4
/
ATOMIC_SPECIES
Tl 204.38 Tl.upf
Re 186.21 Re.upf
Au 196.97 Au.upf
Se 78.96 Se.upf
CELL_PARAMETERS angstrom
1.708 -8.272 0.000
1.708 8.272 0.000
0.000 0.000 9.973
ATOMIC_POSITIONS crystal
Tl 0.187 0.813 0.750
Tl 0.813 0.187 0.250
Re 0.500 0.500 0.000
Re 0.500 0.500 0.500
Au 0.170 0.830 0.250
Au 0.830 0.170 0.750
Se 0.112 0.888 0.020
Se 0.112 0.888 0.480
Se 0.466 0.534 0.250
Se 0.534 0.466 0.750
Se 0.888 0.112 0.520
Se 0.888 0.112 0.980

=====

9.
! SmReAu, optimized geometry, DFT GGA-PBE; values from VASP
! ρ = 11.6 Mg/m³
! Total moment = 2.92 μB per formula unit
! Total DFT energy (no corrections) = -5.616 eV per atom
! Calculated volume = 25.495 Å³/atom
! Energy relative to the elements = 1.1840 eV per atom
&SYSTEM
  ibrav = 0, nat = 3, ntyp = 3
/
ATOMIC_SPECIES
Sm 150.36 Sm.upf
Re 186.21 Re.upf
Au 196.97 Au.upf
CELL_PARAMETERS angstrom
0.000 3.369 3.369
3.369 0.000 3.369
3.369 3.369 0.000
ATOMIC_POSITIONS crystal
Sm 0.000 0.000 0.000
Re 0.250 0.250 0.250
Au 0.750 0.750 0.750

=====

10.
! ReSnAu2, optimized geometry, DFT GGA-PBE; values from VASP
! ρ = 16.1 Mg/m³
! Total moment = 0.12 μB per formula unit
! Total DFT energy (no corrections) = -5.174 eV per atom
! Calculated volume = 18.031 Å³/atom
&SYSTEM
  ibrav = 0, nat = 4, ntyp = 3
/
ATOMIC_SPECIES
Re 186.21 Re.upf
Sn 118.71 Sn.upf
Au 196.97 Au.upf
CELL_PARAMETERS angstrom
0.000 3.304 3.304
3.304 0.000 3.304
3.304 3.304 0.000
ATOMIC_POSITIONS crystal
Re 0.000 0.000 0.000
Sn 0.750 0.750 0.750
Au 0.250 0.250 0.250
Au 0.500 0.500 0.500

=====

11.
! TaReAu, optimized geometry, DFT GGA-PBE; values from VASP
! ρ = 15.8 Mg/m³
! Total moment = 0.01 μB per formula unit
! Energy relative to the lowest polymorph listed for this composition = 0.0 kJ per mole of atoms
! Total DFT energy (no corrections) = -8.445 eV per atom
! Calculated volume = 19.752 Å³/atom
! Energy relative to the elements = 0.7359 eV per atom
&SYSTEM
  ibrav = 0, nat = 3, ntyp = 3
/
ATOMIC_SPECIES
Ta 180.95 Ta.upf
Re 186.21 Re.upf
Au 196.97 Au.upf
CELL_PARAMETERS angstrom
0.000 3.094 3.094
3.094 0.000 3.094
3.094 3.094 0.000
ATOMIC_POSITIONS crystal
Ta 0.000 0.000 0.000
Re 0.250 0.250 0.250
Au 0.750 0.750 0.750

=====

12.
! Re3Te5Au, optimized geometry, DFT GGA-PBE; values from VASP
! ρ = 9.9 Mg/m³
! Total moment = 2.53 μB per formula unit
! Total DFT energy (no corrections) = -5.721 eV per atom
! Calculated volume = 25.903 Å³/atom
&SYSTEM
  ibrav = 0, nat = 9, ntyp = 3
/
ATOMIC_SPECIES
Re 186.21 Re.upf
Te 127.60 Te.upf
Au 196.97 Au.upf
CELL_PARAMETERS angstrom
5.841 0.000 0.000
-2.921 5.059 0.000
0.000 0.000 7.890
ATOMIC_POSITIONS crystal
Re 0.000 0.500 0.000
Re 0.500 0.000 0.000
Re 0.500 0.500 0.000
Te 0.000 0.000 0.000
Te 0.333 0.667 0.268
Te 0.333 0.667 0.732
Te 0.667 0.333 0.268
Te 0.667 0.333 0.732
Au 0.000 0.000 0.500